[1]
Tb3Y3PuSe8 | the Alexandria database | PBE | relaxed; SG = R-3m (166); N(E_F) = 16.14 states/eV per cell; raw total energy = -6.83 eV per atom
1.0
4.085 2.358 6.666
-4.085 2.358 6.666
0.000 -4.717 6.666
Tb Y Pu Se
3 3 1 8
direct
0.000 0.500 0.500
0.500 0.000 0.500
0.500 0.500 0.000
0.000 0.000 0.500
0.000 0.500 0.000
0.500 0.000 0.000
0.000 0.000 0.000
0.250 0.250 0.250
0.255 0.744 0.744
0.256 0.256 0.745
0.256 0.745 0.256
0.744 0.255 0.744
0.744 0.744 0.255
0.745 0.256 0.256
0.750 0.750 0.750

=====

[2]
Hf2MnH | the Alexandria database | PBE | relaxed; SG = R-3m (166); N(E_F) = 3.06 states/eV per cell; raw total energy = -8.08 eV per atom
1.0
1.602 0.925 6.432
-1.602 0.925 6.432
0.000 -1.850 6.432
Hf Mn H
2 1 1
direct
0.239 0.239 0.239
0.761 0.761 0.761
0.000 0.000 0.000
0.500 0.500 0.500

=====

[3]
Ge2POs | the Alexandria database | PBE | relaxed; SG = I-42d (122); N(E_F) = 6.65 states/eV per cell; DFT formation energy = 0.452 eV per atom
1.0
-2.824 2.824 5.374
2.824 -2.824 5.374
2.824 2.824 -5.374
Ge P Os
4 2 2
direct
0.122 0.625 0.997
0.375 0.372 0.497
0.628 0.125 0.003
0.875 0.878 0.503
0.250 0.750 0.500
0.500 0.500 0.000
0.000 0.000 0.000
0.750 0.250 0.500